First-principles (PBE-GGA) data for crystalline CaBeAs2Rh at its relaxed geometry, as listed in Alexandria.

a b c (Å): 5.1219 5.1219 4.8014
angles (deg): 90.00 90.00 90.00
Space group P4/mmm (No. 123)
Unique sites:
Ca: 0.0000 0.0000 0.0000 [1 per cell]
Be: 0.0000 0.0000 0.5000 [1 per cell]
As: 0.0000 0.5000 0.0000 [2 per cell]
Rh: 0.5000 0.5000 0.5000 [1 per cell]

- N(E_F): 1.09 states/eV per atom
- M_tot: 0.00 μB/f.u.

---

First-principles (PBE-GGA) data for crystalline AgGePt at its relaxed geometry, as listed in Alexandria.

a b c (Å): 5.1040 7.0261 7.0267
angles (deg): 72.12 74.20 74.20
Space group P-1 (No. 2)
Unique sites:
Ag: 0.1770 0.1627 0.4105 [2 per cell]
Ag: 0.1802 0.6603 0.9124 [2 per cell]
Ge: 0.3836 0.5538 0.3031 [2 per cell]
Ge: 0.3847 0.0525 0.8032 [2 per cell]
Pt: 0.1481 0.9185 0.1679 [2 per cell]
Pt: 0.1496 0.4171 0.6677 [2 per cell]

- Offset from the most stable computed form: 0 meV per atom
- N(E_F): 0.43 states/eV per atom
- M_tot: 0.00 μB/f.u.

---

First-principles (PBE-GGA) data for crystalline ZrPtN2 at its relaxed geometry, as listed in Alexandria.

a b c (Å): 5.6997 5.6997 5.6997
angles (deg): 90.00 90.00 90.00
Space group Fm-3m (No. 225)
Unique sites:
Zr: 0.0000 0.0000 0.0000 [4 per cell]
Pt: 0.0000 0.0000 0.5000 [4 per cell]
N: 0.2500 0.2500 0.2500 [8 per cell]

- Energy relative to the elements, uncorrected: 0.27 eV/atom
- Offset from the most stable computed form: 660 meV per atom
- N(E_F): 1.18 states/eV per atom
- M_tot: 0.00 μB/f.u.

---

First-principles (PBE-GGA) data for crystalline ScReHg2 at its relaxed geometry, as listed in Alexandria.

a b c (Å): 3.4603 4.7251 9.4410
angles (deg): 90.00 90.00 90.00
Space group Imm2 (No. 44)
Unique sites:
Sc: 0.0000 0.0000 0.0000 [2 per cell]
Re: 0.0000 0.5000 0.2742 [2 per cell]
Hg: 0.0000 0.0000 0.5266 [2 per cell]
Hg: 0.0000 0.5000 0.7685 [2 per cell]

- Offset from the most stable computed form: 75 meV per atom
- N(E_F): 0.67 states/eV per atom
- M_tot: 0.00 μB/f.u.

---

First-principles (PBE-GGA) data for crystalline CeDyTh2Sc2 at its relaxed geometry, as listed in Alexandria.

a b c (Å): 6.3071 6.7337 8.3407
angles (deg): 90.00 97.18 90.00
Space group P2_1/m (No. 11)
Unique sites:
Ce: 0.1928 0.2500 0.1696 [2 per cell]
Dy: 0.1726 0.7500 0.1549 [2 per cell]
Th: 0.3170 0.0007 0.8229 [4 per cell]
Sc: 0.0153 0.2500 0.4990 [2 per cell]
Sc: 0.4840 0.7500 0.4975 [2 per cell]

- N(E_F): 2.05 states/eV per atom
- M_tot: 0.00 μB/f.u.

---

First-principles (PBE-GGA) data for crystalline SrAlTl2 at its relaxed geometry, as listed in Alexandria.

a b c (Å): 4.8668 4.8668 4.8053
angles (deg): 90.00 90.00 90.00
Space group P4/mmm (No. 123)
Unique sites:
Sr: 0.0000 0.0000 0.0000 [1 per cell]
Al: 0.5000 0.5000 0.0000 [1 per cell]
Tl: 0.0000 0.5000 0.5000 [2 per cell]

- N(E_F): 0.72 states/eV per atom
- M_tot: 0.00 μB/f.u.

---

First-principles (PBE-GGA) data for crystalline TmScNiPd at its relaxed geometry, as listed in Alexandria.

a b c (Å): 6.6671 6.6671 6.6671
angles (deg): 90.00 90.00 90.00
Space group F-43m (No. 216)
Unique sites:
Tm: 0.0000 0.0000 0.0000 [4 per cell]
Sc: 0.0000 0.0000 0.5000 [4 per cell]
Ni: 0.2500 0.2500 0.7500 [4 per cell]
Pd: 0.2500 0.2500 0.2500 [4 per cell]

- Offset from the most stable computed form: 16 meV per atom
- N(E_F): 0.87 states/eV per atom
- M_tot: 0.00 μB/f.u.

---

First-principles (PBE-GGA) data for crystalline La2Pm2Tl at its relaxed geometry, as listed in Alexandria.

a b c (Å): 6.1130 18.2279 6.1277
angles (deg): 90.00 105.49 90.00
Space group C2/c (No. 15)
Unique sites:
La: 0.0000 0.0480 0.2500 [4 per cell]
La: 0.0000 0.1605 0.7500 [4 per cell]
Pm: 0.0000 0.3403 0.7500 [4 per cell]
Pm: 0.0000 0.4559 0.2500 [4 per cell]
Tl: 0.0000 0.2522 0.2500 [4 per cell]

- Offset from the most stable computed form: 0 meV per atom
- N(E_F): 1.14 states/eV per atom
- M_tot: 0.00 μB/f.u.

---

First-principles (PBE-GGA) data for crystalline BaErN at its relaxed geometry, as listed in Alexandria.

a b c (Å): 3.7150 6.6986 7.6905
angles (deg): 66.23 76.06 89.98
Space group P-1 (No. 2)
Unique sites:
Ba: 0.1269 0.3036 0.2470 [2 per cell]
Er: 0.3398 0.1656 0.8197 [2 per cell]
N: 0.2409 0.8046 0.0187 [2 per cell]

- Energy relative to the elements, uncorrected: -0.77 eV/atom
- N(E_F): 0.79 states/eV per atom
- M_tot: 0.00 μB/f.u.

---

First-principles (PBE-GGA) data for crystalline AcLaCePu at its relaxed geometry, as listed in Alexandria.

a b c (Å): 8.1949 8.1949 8.1949
angles (deg): 90.00 90.00 90.00
Space group F-43m (No. 216)
Unique sites:
Ac: 0.0000 0.0000 0.0000 [4 per cell]
La: 0.2500 0.2500 0.7500 [4 per cell]
Ce: 0.2500 0.2500 0.2500 [4 per cell]
Pu: 0.0000 0.0000 0.5000 [4 per cell]

- N(E_F): 3.39 states/eV per atom
- M_tot: 8.73 μB/f.u.

---

First-principles (PBE-GGA) data for crystalline Rb2Pu2NpS6 at its relaxed geometry, as listed in Alexandria.

a b c (Å): 7.0414 12.1697 8.1528
angles (deg): 90.00 106.81 90.00
Space group C2/m (No. 12)
Unique sites:
Rb: 0.0000 0.1678 0.0000 [4 per cell]
Pu: 0.0000 0.3340 0.5000 [4 per cell]
Np: 0.0000 0.0000 0.5000 [2 per cell]
S: 0.2246 0.1651 0.6827 [8 per cell]
S: 0.2351 0.5000 0.6830 [4 per cell]

- Energy relative to the elements, uncorrected: -1.53 eV/atom
- N(E_F): 2.59 states/eV per atom
- M_tot: 13.00 μB/f.u.

---

First-principles (PBE-GGA) data for crystalline Hf6BeSb2 at its relaxed geometry, as listed in Alexandria.

a b c (Å): 7.5581 7.5581 3.7516
angles (deg): 90.00 90.00 120.00
Space group P-62m (No. 189)
Unique sites:
Hf: 0.0000 0.2334 0.0000 [3 per cell]
Hf: 0.0000 0.6059 0.5000 [3 per cell]
Be: 0.0000 0.0000 0.5000 [1 per cell]
Sb: 0.3333 0.6667 0.0000 [2 per cell]

- Energy relative to the elements, uncorrected: -0.43 eV/atom
- Offset from the most stable computed form: 0 meV per atom
- N(E_F): 0.49 states/eV per atom
- M_tot: 0.00 μB/f.u.

---

First-principles (PBE-GGA) data for crystalline HgS2NCl at its relaxed geometry, as listed in Alexandria.

a b c (Å): 5.1168 5.1168 5.4918
angles (deg): 90.00 90.00 90.00
Space group P4/mmm (No. 123)
Unique sites:
Hg: 0.0000 0.0000 0.0000 [1 per cell]
S: 0.0000 0.5000 0.0000 [2 per cell]
N: 0.5000 0.5000 0.5000 [1 per cell]
Cl: 0.0000 0.0000 0.5000 [1 per cell]

- Energy relative to the elements, uncorrected: 1.64 eV/atom
- Offset from the most stable computed form: 540 meV per atom
- N(E_F): 0.81 states/eV per atom
- M_tot: 5.48 μB/f.u.

---

First-principles (PBE-GGA) data for crystalline TaCdH at its relaxed geometry, as listed in Alexandria.

a b c (Å): 3.1030 5.0078 6.2128
angles (deg): 90.00 118.88 90.00
Space group Pc (No. 7)
Unique sites:
Ta: 0.0000 0.0054 0.0000 [2 per cell]
Cd: 0.3331 0.4945 0.3317 [2 per cell]
H: 0.6626 0.0922 0.6671 [2 per cell]

- Offset from the most stable computed form: 0 meV per atom
- N(E_F): 0.20 states/eV per atom
- M_tot: 0.00 μB/f.u.

---

First-principles (PBE-GGA) data for crystalline In2PAu at its relaxed geometry, as listed in Alexandria.

a b c (Å): 4.1602 6.8749 7.2411
angles (deg): 112.19 90.02 90.10
Space group P1 (No. 1)
Unique sites:
In: 0.0000 0.0000 0.0000 [1 per cell]
In: 0.0007 0.3395 0.7538 [1 per cell]
In: 0.4980 0.9881 0.5039 [1 per cell]
In: 0.5010 0.4283 0.4419 [1 per cell]
P: 0.4992 0.8098 0.7777 [1 per cell]
P: 0.9972 0.8197 0.2718 [1 per cell]
Au: 0.0006 0.4318 0.1810 [1 per cell]
Au: 0.5009 0.5937 0.9944 [1 per cell]

- N(E_F): 0.29 states/eV per atom
- M_tot: 0.00 μB/f.u.

---

First-principles (PBE-GGA) data for crystalline TbYSiAg at its relaxed geometry, as listed in Alexandria.

a b c (Å): 7.1588 7.1588 7.1588
angles (deg): 90.00 90.00 90.00
Space group F-43m (No. 216)
Unique sites:
Tb: 0.0000 0.0000 0.0000 [4 per cell]
Y: 0.0000 0.0000 0.5000 [4 per cell]
Si: 0.2500 0.2500 0.2500 [4 per cell]
Ag: 0.2500 0.2500 0.7500 [4 per cell]

- Energy relative to the elements, uncorrected: -0.46 eV/atom
- N(E_F): 0.83 states/eV per atom
- M_tot: 0.00 μB/f.u.

---

First-principles (PBE-GGA) data for crystalline Na3Ag2Sb3 at its relaxed geometry, as listed in Alexandria.

a b c (Å): 8.1905 17.6770 5.9250
angles (deg): 90.00 90.00 90.00
Space group Pnma (No. 62)
Unique sites:
Na: 0.0394 0.1216 0.1060 [8 per cell]
Na: 0.1945 0.2500 0.6169 [4 per cell]
Ag: 0.0905 0.6170 0.4057 [8 per cell]
Sb: 0.1613 0.7500 0.6194 [4 per cell]
Sb: 0.1913 0.0248 0.6403 [8 per cell]

- Energy relative to the elements, uncorrected: -0.19 eV/atom
- Offset from the most stable computed form: 43 meV per atom
- N(E_F): 0.44 states/eV per atom
- M_tot: 0.00 μB/f.u.

---

no.,VASP energy (eV/atom)
1,-2.90
2,-4.66
3,-7.54
4,-4.52
5,-6.16
6,-2.64
7,-6.11
8,-4.49
9,-5.70
10,-7.05
11,-7.74
12,-8.40
13,-2.11
14,-5.33
15,-3.56
16,-5.30
17,-2.95